The following is a DFT calculation (GGA-PBE) of a relaxed structure of Ce3Hf5Zr12.

```
Ce3Hf5Zr12
1.0
-2.264 8.601 11.276
-9.938 -10.366 -0.186
13.053 -5.900 1.024
Ce Hf Zr
12 20 48
direct
0.750 0.375 0.125 Ce
0.875 0.750 0.125 Ce
0.375 0.750 0.625 Ce
0.250 0.125 0.375 Ce
0.875 0.125 0.250 Ce
0.375 0.625 0.250 Ce
0.625 0.375 0.750 Ce
0.125 0.875 0.750 Ce
0.750 0.875 0.625 Ce
0.625 0.250 0.375 Ce
0.125 0.250 0.875 Ce
0.250 0.625 0.875 Ce
0.125 0.375 0.250 Hf
0.000 0.500 0.000 Hf
0.000 0.000 0.000 Hf
0.375 0.250 0.125 Hf
0.500 0.000 0.500 Hf
0.500 0.500 0.000 Hf
0.125 0.750 0.375 Hf
0.750 0.125 0.875 Hf
0.750 0.625 0.375 Hf
0.375 0.125 0.750 Hf
0.625 0.875 0.250 Hf
0.500 0.500 0.500 Hf
0.500 0.000 0.000 Hf
0.000 0.000 0.500 Hf
0.250 0.375 0.625 Hf
0.250 0.875 0.125 Hf
0.000 0.500 0.500 Hf
0.875 0.250 0.625 Hf
0.625 0.750 0.875 Hf
0.875 0.625 0.750 Hf
0.732 0.126 0.069 Zr
0.337 0.569 0.443 Zr
0.931 0.374 0.268 Zr
0.569 0.232 0.126 Zr
0.606 0.732 0.663 Zr
0.931 0.557 0.163 Zr
0.337 0.768 0.394 Zr
0.057 0.894 0.126 Zr
0.557 0.931 0.663 Zr
0.732 0.606 0.163 Zr
0.768 0.431 0.374 Zr
0.837 0.943 0.069 Zr
0.126 0.732 0.569 Zr
0.374 0.443 0.106 Zr
0.106 0.943 0.374 Zr
0.394 0.126 0.557 Zr
0.106 0.163 0.232 Zr
0.431 0.663 0.057 Zr
0.837 0.894 0.268 Zr
0.126 0.394 0.057 Zr
0.374 0.931 0.768 Zr
0.557 0.626 0.394 Zr
0.943 0.837 0.569 Zr
0.768 0.337 0.894 Zr
0.443 0.374 0.606 Zr
0.057 0.163 0.431 Zr
0.232 0.663 0.106 Zr
0.163 0.106 0.732 Zr
0.626 0.069 0.232 Zr
0.874 0.606 0.943 Zr
0.569 0.337 0.943 Zr
0.606 0.874 0.443 Zr
0.894 0.837 0.768 Zr
0.894 0.057 0.626 Zr
0.874 0.268 0.431 Zr
0.163 0.057 0.931 Zr
0.626 0.557 0.894 Zr
0.443 0.069 0.337 Zr
0.268 0.394 0.837 Zr
0.232 0.569 0.626 Zr
0.943 0.106 0.874 Zr
0.663 0.232 0.606 Zr
0.431 0.768 0.874 Zr
0.069 0.443 0.837 Zr
0.394 0.268 0.337 Zr
0.069 0.626 0.732 Zr
0.663 0.431 0.557 Zr
0.268 0.874 0.931 Zr
```

As for the formation energy: 1.357 eV per atom. The calculation puts the uncorrected energy at -572.0 eV/cell. As for the space group: Ia-3d, No. 230.

=====

The following is a DFT calculation (GGA-PBE) of a relaxed structure of Ta2BiPtF.

```
Ta2BiPtF
1.0
-0.181 3.474 3.483
1.813 -3.724 3.808
4.657 1.245 -1.000
F Bi Pt Ta
1 1 1 2
direct
0.500 0.500 0.500 F
0.000 0.500 0.000 Bi
0.000 0.000 0.000 Pt
0.000 0.000 0.500 Ta
0.500 0.000 0.000 Ta
```

The calculation puts the uncorrected energy at -30.4 eV/cell. As for the space group: P4/mmm, No. 123.

=====

The following is a DFT calculation (GGA-PBE) of a relaxed structure of SbOs2Se.

```
SbOs2Se
1.0
6.562 0.004 0.000
4.651 4.629 0.000
-5.335 -2.974 2.399
Os Sb Se
2 1 1
direct
0.934 0.934 0.000 Os
0.741 0.241 0.500 Os
0.541 0.541 0.000 Sb
0.284 0.784 0.500 Se
```

As for the energy above the lowest structure with this stoichiometry: 118 kJ/mol of formula units. The calculation puts the uncorrected energy at -27.4 eV/cell. As for the space group: Imm2, No. 44.

=====

The following is a DFT calculation (GGA-PBE) of a relaxed structure of HoGeRu.

```
HoGeRu
1.0
-0.053 4.409 0.210
-0.348 -0.338 7.002
7.238 0.070 0.363
Ho Ge Ru
4 4 4
direct
0.250 0.486 0.192 Ho
0.750 0.514 0.808 Ho
0.250 0.986 0.308 Ho
0.750 0.014 0.692 Ho
0.250 0.797 0.893 Ge
0.750 0.203 0.107 Ge
0.250 0.297 0.607 Ge
0.750 0.703 0.393 Ge
0.750 0.844 0.063 Ru
0.250 0.156 0.937 Ru
0.750 0.344 0.437 Ru
0.250 0.656 0.563 Ru
```

As for the formation energy: -0.730 eV per atom. The calculation puts the uncorrected energy at -82.6 eV/cell. As for the space group: Pnma, No. 62.

=====

The following is a DFT calculation (GGA-PBE) of a relaxed structure of Mg14CoBi.

```
Mg14CoBi
1.0
2.299 0.704 5.866
-5.219 -3.466 -0.964
5.708 -8.249 -1.247
Mg Co Bi
14 1 1
direct
0.992 0.496 0.000 Mg
0.005 0.502 0.500 Mg
0.504 0.008 0.000 Mg
0.498 0.995 0.500 Mg
0.504 0.496 0.000 Mg
0.498 0.502 0.500 Mg
0.162 0.838 0.230 Mg
0.162 0.838 0.770 Mg
0.162 0.324 0.230 Mg
0.162 0.324 0.770 Mg
0.676 0.838 0.230 Mg
0.676 0.838 0.770 Mg
0.667 0.333 0.255 Mg
0.667 0.333 0.745 Mg
0.000 0.000 0.000 Co
0.000 0.000 0.500 Bi
```

As for the formation energy: 0.039 eV per atom. As for the energy above the lowest structure with this stoichiometry: 0 kJ/mol of formula units. The calculation puts the uncorrected energy at -32.7 eV/cell. As for the space group: P-6m2, No. 187.

=====

The following is a DFT calculation (GGA-PBE) of a relaxed structure of BaZr3.

```
BaZr3
1.0
3.830 0.000 0.000
0.000 3.830 0.000
0.000 0.000 7.937
Ba Zr
1 3
direct
0.000 0.000 0.000 Ba
0.500 0.500 0.316 Zr
0.000 0.000 0.500 Zr
0.500 0.500 0.684 Zr
```

As for the formation energy: 0.352 eV per atom. As for the energy above the lowest structure with this stoichiometry: 14 kJ/mol of formula units. The calculation puts the uncorrected energy at -26.2 eV/cell. As for the space group: P4/mmm, No. 123.

=====

The following is a DFT calculation (GGA-PBE) of a relaxed structure of Rb2SrPtI6.

```
Rb2SrPtI6
1.0
-5.738 6.308 0.553
0.094 -0.661 8.519
1.699 6.912 4.804
I Sr Rb Pt
6 1 2 1
direct
0.236 0.236 0.529 I
0.764 0.764 0.471 I
0.233 0.233 0.000 I
0.767 0.767 0.000 I
0.767 0.233 0.000 I
0.233 0.767 0.000 I
0.500 0.500 0.000 Sr
0.750 0.250 0.500 Rb
0.250 0.750 0.500 Rb
0.000 0.000 0.000 Pt
```

The calculation puts the uncorrected energy at -28.7 eV/cell. As for the space group: I4/mmm, No. 139.

=====

The following is a DFT calculation (GGA-PBE) of a relaxed structure of TaMo5.

```
TaMo5
1.0
0.000 3.697 3.697
3.697 0.000 3.697
3.697 3.697 0.000
Ta Mo
1 5
direct
0.000 0.000 0.000 Ta
0.876 0.375 0.375 Mo
0.750 0.750 0.750 Mo
0.375 0.876 0.375 Mo
0.375 0.375 0.375 Mo
0.375 0.375 0.876 Mo
```

As for the formation energy: 0.211 eV per atom. As for the energy above the lowest structure with this stoichiometry: 185 kJ/mol of formula units. The calculation puts the uncorrected energy at -64.7 eV/cell. As for the space group: F-43m, No. 216.